Pr2PaS3: relaxed, PBE-GGA.

Cell: 6.9592 6.9592 7.0167 Å, 99.55 99.55 119.97°
With the nearest neighbours (Å) after each atom.
Atoms (fractional coordinates):
Pa: 0.6664 0.3336 0.0000  6 S 2.77-2.79
S: 0.4137 0.0902 0.2412  2 Pa 2.79, 4 Pr 2.87-2.92
Pa: 0.0003 0.9997 0.0000  6 S 2.77-2.79
S: 0.0687 0.4020 0.2353  2 Pa 2.77, 4 Pr 2.85-2.89
S: 0.2529 0.2431 0.7588  2 Pa 2.79, 4 Pr 2.87-2.92
Pr: 0.1722 0.8278 0.5000  6 S 2.87-2.92
S: 0.7569 0.7471 0.2412  2 Pa 2.79, 4 Pr 2.87-2.92
S: 0.5980 0.9313 0.7647  2 Pa 2.77, 4 Pr 2.85-2.89
Pr: 0.4945 0.5055 0.5000  6 S 2.87-2.92
Pr: 0.8333 0.1667 0.5000  6 S 2.86-2.91
S: 0.9098 0.5863 0.7588  2 Pa 2.79, 4 Pr 2.87-2.92
Pr: 0.3333 0.6667 0.0000  6 S 2.85-2.87

Properties
* M_tot: 0.002 μB/cell
* calculated total energy: -85.03 eV for the cell shown
* density of states at the Fermi level: 10.7 states/eV per cell